Record 1
Crystalline TlZnPO4 at its relaxed geometry, computed with PBE-GGA.

Structure (CIF):
```
data_TlZnPO4
_chemical_formula_sum 'Tl2 Zn2 P2 O8'
_space_group_name_H-M_alt 'P 1 21/m 1'
_space_group_IT_number 11
_cell_length_a 5.236
_cell_length_b 5.584
_cell_length_c 8.193
_cell_angle_alpha 90.00
_cell_angle_beta 97.46
_cell_angle_gamma 90.00
loop_
_space_group_symop_operation_xyz
'x,y,z'
'-x,-y,-z'
'-x,y+1/2,-z'
'x,-y+1/2,z'
loop_
_atom_site_label
_atom_site_fract_x
_atom_site_fract_y
_atom_site_fract_z
_atom_site_occupancy
Tl1 0.207 0.250 0.463 1
Zn1 0.338 0.250 0.986 1
P1 0.253 0.750 0.215 1
O1 0.043 0.250 0.819 1
O2 0.328 0.750 0.404 1
O3 0.380 0.530 0.138 1
```

Calculated values
energy relative to the elements, uncorrected = -1766 meV/atom
calculated total energy = -5.8922 eV/atom

---

Record 2
Crystalline SmThCdRu at its relaxed geometry, computed with PBE-GGA.

Structure (CIF):
```
data_SmThCdRu
_chemical_formula_sum 'Sm4 Th4 Cd4 Ru4'
_space_group_name_H-M_alt 'F -4 3 m'
_space_group_IT_number 216
_space_group_name_Hall 'F -4 2 3'
_cell_length_a 7.333
_cell_length_b 7.333
_cell_length_c 7.333
_cell_angle_alpha 90.00
_cell_angle_beta 90.00
_cell_angle_gamma 90.00
loop_
_atom_site_label
_atom_site_fract_x
_atom_site_fract_y
_atom_site_fract_z
_atom_site_occupancy
Sm1 0.000 0.000 0.000 1
Th1 0.000 0.000 0.500 1
Cd1 0.250 0.250 0.750 1
Ru1 0.250 0.250 0.250 1
```

Calculated values
E_form = -0.170 eV per atom
calculated total energy = -5.7521 eV/atom

---

Record 3
Crystalline Pm2Tm3Cd3 at its relaxed geometry, computed with PBE-GGA.

Structure (CIF):
```
data_Pm2Tm3Cd3
_chemical_formula_sum 'Pm2 Tm3 Cd3'
_space_group_name_H-M_alt 'P m m m'
_space_group_IT_number 47
_cell_length_a 4.888
_cell_length_b 4.896
_cell_length_c 9.204
_cell_angle_alpha 90.00
_cell_angle_beta 90.00
_cell_angle_gamma 90.00
loop_
_space_group_symop_operation_xyz
'x,y,z'
'-x,-y,-z'
'-x,-y,z'
'x,y,-z'
'x,-y,-z'
'-x,y,z'
'-x,y,-z'
'x,-y,z'
loop_
_atom_site_label
_atom_site_fract_x
_atom_site_fract_y
_atom_site_fract_z
_atom_site_occupancy
Pm1 0.000 0.000 0.244 1
Tm1 0.000 0.500 0.500 1
Tm2 0.500 0.500 0.229 1
Cd1 0.000 0.500 0.000 1
Cd2 0.500 0.000 0.000 1
Cd3 0.500 0.000 0.500 1
```

Calculated values
ΔE to the lowest computed polymorph = 43 meV/atom
E_form = -0.174 eV per atom
calculated total energy = -3.3821 eV/atom

---

Record 4
Crystalline Rb3RuO4 at its relaxed geometry, computed with PBE-GGA.

Structure (CIF):
```
data_Rb3RuO4
_chemical_formula_sum 'Rb6 Ru2 O8'
_space_group_name_H-M_alt 'P m n 21'
_space_group_IT_number 31
_cell_length_a 8.686
_cell_length_b 7.075
_cell_length_c 6.340
_cell_angle_alpha 90.00
_cell_angle_beta 90.00
_cell_angle_gamma 90.00
loop_
_space_group_symop_operation_xyz
'x,y,z'
'-x+1/2,-y,z+1/2'
'-x,y,z'
'x+1/2,-y,z+1/2'
loop_
_atom_site_label
_atom_site_fract_x
_atom_site_fract_y
_atom_site_fract_z
_atom_site_occupancy
Rb1 0.000 0.114 0.000 1
Rb2 0.236 0.335 0.477 1
Ru1 0.000 0.819 0.462 1
O1 0.000 0.071 0.539 1
O2 0.000 0.744 0.181 1
O3 0.191 0.728 0.545 1
```

Calculated values
energy relative to the elements, uncorrected = -1244 meV/atom
calculated total energy = -5.2453 eV/atom

---

Record 5
Crystalline Sr2Zn3InPd4 at its relaxed geometry, computed with PBE-GGA.

Structure (CIF):
```
data_Sr2Zn3InPd4
_chemical_formula_sum 'Sr2 Zn3 In1 Pd4'
_space_group_name_H-M_alt 'P -4 m 2'
_space_group_IT_number 115
_cell_length_a 4.374
_cell_length_b 4.374
_cell_length_c 11.010
_cell_angle_alpha 90.00
_cell_angle_beta 90.00
_cell_angle_gamma 90.00
loop_
_space_group_symop_operation_xyz
'x,y,z'
'y,-x,-z'
'-x,-y,z'
'-y,x,-z'
'-x,y,z'
'-y,-x,-z'
'x,-y,z'
'y,x,-z'
loop_
_atom_site_label
_atom_site_fract_x
_atom_site_fract_y
_atom_site_fract_z
_atom_site_occupancy
Sr1 0.000 0.500 0.238 1
Zn1 0.000 0.500 0.876 1
Zn2 0.500 0.500 0.500 1
In1 0.000 0.000 0.500 1
Pd1 0.000 0.000 0.000 1
Pd2 0.000 0.500 0.644 1
Pd3 0.500 0.500 0.000 1
```

Calculated values
E_form = -0.566 eV per atom
calculated total energy = -3.6357 eV/atom

---

Record 6
Crystalline Nd4Sm2ErTm at its relaxed geometry, computed with PBE-GGA.

Structure (CIF):
```
data_Nd4Sm2ErTm
_chemical_formula_sum 'Nd4 Sm2 Er1 Tm1'
_space_group_name_H-M_alt 'P 1 2/m 1'
_space_group_IT_number 10
_cell_length_a 5.130
_cell_length_b 5.154
_cell_length_c 10.148
_cell_angle_alpha 90.00
_cell_angle_beta 90.06
_cell_angle_gamma 90.00
loop_
_space_group_symop_operation_xyz
'x,y,z'
'-x,-y,-z'
'-x,y,-z'
'x,-y,z'
loop_
_atom_site_label
_atom_site_fract_x
_atom_site_fract_y
_atom_site_fract_z
_atom_site_occupancy
Nd1 0.000 0.000 0.249 1
Nd2 0.500 0.500 0.250 1
Sm1 0.000 0.500 0.000 1
Sm2 0.500 0.000 0.500 1
Er1 0.000 0.500 0.500 1
Tm1 0.500 0.000 0.000 1
```

Calculated values
E_form = 0.015 eV per atom
calculated total energy = -4.6777 eV/atom

---

Record 7
Crystalline LiTa2TlPt at its relaxed geometry, computed with PBE-GGA.

Structure (CIF):
```
data_LiTa2TlPt
_chemical_formula_sum 'Li1 Ta2 Tl1 Pt1'
_space_group_name_H-M_alt 'P 4/m m m'
_space_group_IT_number 123
_space_group_name_Hall '-P 4 2'
_cell_length_a 4.459
_cell_length_b 4.459
_cell_length_c 4.406
_cell_angle_alpha 90.00
_cell_angle_beta 90.00
_cell_angle_gamma 90.00
loop_
_atom_site_label
_atom_site_fract_x
_atom_site_fract_y
_atom_site_fract_z
_atom_site_occupancy
Li1 0.000 0.000 0.000 1
Ta1 0.000 0.500 0.000 1
Tl1 0.000 0.000 0.500 1
Pt1 0.500 0.500 0.500 1
```

Calculated values
E_form = 0.956 eV per atom
calculated total energy = -5.8487 eV/atom

---

Record 8
Crystalline TbDy3Sb2C at its relaxed geometry, computed with PBE-GGA.

Structure (CIF):
```
data_TbDy3Sb2C
_chemical_formula_sum 'Tb2 Dy6 Sb4 C2'
_space_group_name_H-M_alt 'I m m m'
_space_group_IT_number 71
_space_group_name_Hall '-I 2 2'
_cell_length_a 4.793
_cell_length_b 4.814
_cell_length_c 15.747
_cell_angle_alpha 90.00
_cell_angle_beta 90.00
_cell_angle_gamma 90.00
loop_
_atom_site_label
_atom_site_fract_x
_atom_site_fract_y
_atom_site_fract_z
_atom_site_occupancy
Tb1 0.000 0.000 0.000 1
Dy1 0.000 0.000 0.500 1
Dy2 0.000 0.500 0.157 1
Sb1 0.000 0.500 0.358 1
C1 0.000 0.500 0.000 1
```

Calculated values
energy relative to the elements, uncorrected = -768 meV/atom
calculated total energy = -5.8976 eV/atom

---

Record 9
Crystalline CuTc2Sb at its relaxed geometry, computed with PBE-GGA.

Structure (CIF):
```
data_CuTc2Sb
_chemical_formula_sum 'Cu2 Tc4 Sb2'
_space_group_name_H-M_alt 'I m m m'
_space_group_IT_number 71
_space_group_name_Hall '-I 2 2'
_cell_length_a 3.222
_cell_length_b 4.478
_cell_length_c 8.749
_cell_angle_alpha 90.00
_cell_angle_beta 90.00
_cell_angle_gamma 90.00
loop_
_atom_site_label
_atom_site_fract_x
_atom_site_fract_y
_atom_site_fract_z
_atom_site_occupancy
Cu1 0.000 0.000 0.000 1
Tc1 0.000 0.500 0.243 1
Sb1 0.000 0.000 0.500 1
```

Calculated values
energy relative to the elements, uncorrected = 399 meV/atom
calculated total energy = -6.8385 eV/atom

---

Record 10
Crystalline HoBe2SiPt4 at its relaxed geometry, computed with PBE-GGA.

Structure (CIF):
```
data_HoBe2SiPt4
_chemical_formula_sum 'Ho3 Be6 Si3 Pt12'
_space_group_name_H-M_alt 'R -3 m'
_space_group_IT_number 166
_space_group_name_Hall '-R 3 2"'
_cell_length_a 4.0457
_cell_length_b 4.0457
_cell_length_c 26.1577
_cell_angle_alpha 90.00
_cell_angle_beta 90.00
_cell_angle_gamma 120.00
loop_
_atom_site_label
_atom_site_fract_x
_atom_site_fract_y
_atom_site_fract_z
_atom_site_occupancy
Ho1 0.0000 0.0000 0.0000 1
Be1 0.0000 0.0000 0.2540 1
Si1 0.0000 0.0000 0.5000 1
Pt1 0.0000 0.0000 0.1344 1
Pt2 0.0000 0.0000 0.4052 1
```

Calculated values
energy relative to the elements, uncorrected = -802 meV/atom
calculated total energy = -6.0038 eV/atom

---

Record 11
Crystalline Li2ZnGa2Ag5 at its relaxed geometry, computed with PBE-GGA.

Structure (CIF):
```
data_Li2ZnGa2Ag5
_chemical_formula_sum 'Li4 Zn2 Ga4 Ag10'
_space_group_name_H-M_alt 'P 4/m b m'
_space_group_IT_number 127
_space_group_name_Hall '-P 4 2ab'
_cell_length_a 9.511
_cell_length_b 9.511
_cell_length_c 3.987
_cell_angle_alpha 90.00
_cell_angle_beta 90.00
_cell_angle_gamma 90.00
loop_
_atom_site_label
_atom_site_fract_x
_atom_site_fract_y
_atom_site_fract_z
_atom_site_occupancy
Li1 0.172 0.328 0.000 1
Zn1 0.000 0.000 0.000 1
Ga1 0.128 0.628 0.000 1
Ag1 0.000 0.500 0.500 1
Ag2 0.072 0.804 0.500 1
```

Calculated values
E_form = -0.079 eV per atom
calculated total energy = -2.6204 eV/atom